Entry 1:
# UAl7Fe5, relaxed, DFT PBE
# E_tot ... -167.5 eV/cell
# Formation energy ... -0.30 eV/atom
# Crystal system ... orthorhombic
data_UAl7Fe5
_chemical_formula_sum 'U2 Al14 Fe10'
_cell_length_a 4.977
_cell_length_b 8.664
_cell_length_c 8.616
_cell_angle_alpha 90.00
_cell_angle_beta 90.00
_cell_angle_gamma 90.00
_space_group_name_H-M_alt 'I m m 2'
_space_group_IT_number 44
loop_
_space_group_symop_operation_xyz
'x,y,z'
'-x,-y,z'
'-x,y,z'
'x,-y,z'
'x+1/2,y+1/2,z+1/2'
'-x+1/2,-y+1/2,z+1/2'
'-x+1/2,y+1/2,z+1/2'
'x+1/2,-y+1/2,z+1/2'
loop_
_atom_site_label
_atom_site_fract_x
_atom_site_fract_y
_atom_site_fract_z
_atom_site_occupancy
U1 0.000 0.000 0.000 1
Al1 0.000 0.000 0.337 1
Al2 0.000 0.000 0.651 1
Al3 0.000 0.288 0.494 1
Al4 0.000 0.345 0.982 1
Al5 0.000 0.500 0.268 1
Fe1 0.000 0.500 0.717 1
Fe2 0.248 0.250 0.239 1

***

Entry 2:
# U2AlFe3, relaxed, DFT PBE
# E_tot ... -105.8 eV/cell
# Formation energy ... -0.20 eV/atom
# Crystal system ... hexagonal
data_U2AlFe3
_chemical_formula_sum 'U4 Al2 Fe6'
_cell_length_a 5.1097
_cell_length_b 5.1097
_cell_length_c 7.9177
_cell_angle_alpha 90.00
_cell_angle_beta 90.00
_cell_angle_gamma 120.00
_space_group_name_H-M_alt 'P 63/m m c'
_space_group_IT_number 194
_space_group_name_Hall '-P 6c 2c'
loop_
_atom_site_label
_atom_site_fract_x
_atom_site_fract_y
_atom_site_fract_z
_atom_site_occupancy
U1 0.3333 0.6667 0.0788 1
Al1 0.0000 0.0000 0.0000 1
Fe1 0.1704 0.3409 0.7500 1

***

| no. | density of states at the Fermi level (states/eV per cell) |
| --- | --- |
| 1 | 26.953 |
| 2 | 18.216 |